[1]
Computed, not measured: a relaxed structure of TlCrRe2 at the PBE-GGA level of DFT.

* space group: No. 12
* ΔE to the lowest computed polymorph: 0.51 eV per formula unit
* D(E_F): 1.1032 states/eV/atom

Lattice parameters (Å, degrees): 4.978 4.978 4.792 103.92 103.92 33.98
Positions (direct):
Tl 0.000 0.000 0.000
Cr 0.500 0.500 0.500
Re 0.227 0.227 0.714
Re 0.773 0.773 0.286

***

[2]
Computed, not measured: a relaxed structure of TiMnPb at the PBE-GGA level of DFT.

* space group: No. 2
* D(E_F): 0.7664 states/eV/atom
* VASP energy: -40.5 eV per cell

Lattice parameters (Å, degrees): 3.123 5.780 7.000 67.63 77.31 74.58
Positions (direct):
Ti 0.041 0.190 0.225
Ti 0.959 0.810 0.775
Mn 0.410 0.184 0.501
Mn 0.590 0.816 0.499
Pb 0.319 0.675 0.188
Pb 0.681 0.325 0.812